DFT (PBE) results for a geometry-optimized Be2InIr structure.

Space-group type: No. 10

Cell: 2.949 4.646 5.096 Å, 51.42 90.00 90.00°
Sites, in units of the cell vectors:
Be: 0.000 0.000 0.000
Ir: 0.000 0.000 0.500
In: 0.500 0.500 0.500
Be: 0.500 0.500 0.000

DFT (PBE) results for a geometry-optimized Pm2Nd4SmHo structure.

Space-group type: No. 10

Cell: 5.170 5.156 11.518 Å, 63.30 90.00 90.00°
Sites, in units of the cell vectors:
Nd: 0.000 0.752 0.748
Sm: 0.500 0.500 0.000
Nd: 0.500 0.251 0.749
Nd: 0.500 0.749 0.251
Nd: 0.000 0.248 0.252
Ho: 0.000 0.500 0.500
Pm: 0.000 0.000 0.000
Pm: 0.500 0.000 0.500

DFT (PBE) results for a geometry-optimized Li2TaIn structure.

Space-group type: No. 65

Cell: 2.812 2.812 9.977 Å, 90.00 90.00 108.56°
Sites, in units of the cell vectors:
Ta: 0.500 0.500 0.250
In: 0.500 0.500 0.750
Li: 0.000 0.000 0.000
Li: 0.000 0.000 0.500

DFT (PBE) results for a geometry-optimized TlAgMo2 structure.

Space-group type: No. 216
Polymorph energy (0 for the lowest one), meV/atom: 326

Cell: 4.672 4.672 4.672 Å, 60.00 60.00 60.00°
Sites, in units of the cell vectors:
Mo: 0.250 0.250 0.250
Tl: 0.750 0.750 0.750
Ag: 0.500 0.500 0.500
Mo: 0.000 0.000 0.000

What did we get for Fermi-level density of states? Answer: 1.61; 11.34; 2.15; 3.04 states/eV per cell, in the order shown.
What did we get for mass density? Answer: 9.891; 7.158; 6.874; 11.612 g cm⁻³, in the order shown.
What did we get for energy relative to the elements? Answer: 182.8; 12.6; 190.1; 767.9 meV per atom, in the order shown.